SrTc2P | SCAN | PBEsol geometry

It has space group I-4m2 (No. 119), with a = 4.4090 Å, b = 4.4090 Å, c = 6.8374 Å, α = 90.00°, β = 90.00° and γ = 90.00°. Symmetry generates all atoms from Sr at (0.0000, 0.0000, 0.0000), Tc at (0.0000, 0.0000, 0.5000), Tc at (0.0000, 0.5000, 0.7500) and P at (0.0000, 0.5000, 0.2500).

For the polymorph energy (0 for the lowest one), the calculation gives 33.9 kJ/mol of atoms. The value obtained for the uncorrected energy is -25.05 eV per atom. For the calculated formation energy, the calculation gives 0.647 eV/atom.